<P>
## NaDyRe (PBE-GGA)

Data for NaDyRe after structural relaxation.

Properties
As for the total magnetic moment: 0.4712 μB per atom.

a b c (Å): 4.649 4.649 4.649
angles (deg): 60.00 60.00 60.00
Fractional positions:
Dy  0.250  0.250  0.250
Na  0.000  0.000  0.000
Re  0.750  0.750  0.750

---

<Q>
## NaDyRe (PBE-GGA)

Data for NaDyRe after structural relaxation.

Properties
As for the total magnetic moment: 0.4937 μB per atom.

a b c (Å): 4.790 4.790 4.790
angles (deg): 60.00 60.00 60.00
Fractional positions:
Dy  0.000  0.000  0.000
Na  0.250  0.250  0.250
Re  0.750  0.750  0.750

---

What should be chosen as the least stable of them? Choose <P>.

---

<P>
## NaDyZnS3 (PBE-GGA)

Data for NaDyZnS3 after structural relaxation.

Properties
As for the total magnetic moment: 0.0001 μB per atom.

a b c (Å): 11.132 3.962 11.449
angles (deg): 90.00 90.00 90.00
Fractional positions:
Dy  0.526  0.000  0.176
Dy  0.026  0.000  0.324
Dy  0.974  0.500  0.676
Dy  0.474  0.500  0.824
Na  0.847  0.500  0.006
Na  0.347  0.500  0.494
Na  0.653  0.000  0.506
Na  0.153  0.000  0.994
S  0.399  0.500  0.065
S  0.054  0.500  0.156
S  0.781  0.000  0.181
S  0.281  0.000  0.319
S  0.554  0.500  0.344
S  0.899  0.500  0.435
S  0.101  0.000  0.565
S  0.446  0.000  0.656
S  0.719  0.500  0.681
S  0.219  0.500  0.819
S  0.946  0.000  0.844
S  0.601  0.000  0.935
Zn  0.254  0.500  0.208
Zn  0.754  0.500  0.292
Zn  0.246  0.000  0.708
Zn  0.746  0.000  0.792

---

<Q>
## NaDyZnS3 (PBE-GGA)

Data for NaDyZnS3 after structural relaxation.

Properties
As for the total magnetic moment: 0.0004 μB per atom.

a b c (Å): 7.977 3.933 9.682
angles (deg): 90.00 105.86 90.00
Fractional positions:
Dy  0.331  0.750  0.350
Dy  0.669  0.250  0.650
Na  0.815  0.750  0.326
Na  0.185  0.250  0.674
S  0.218  0.750  0.045
S  0.087  0.250  0.346
S  0.567  0.250  0.356
S  0.433  0.750  0.644
S  0.913  0.750  0.654
S  0.782  0.250  0.955
Zn  0.080  0.250  0.103
Zn  0.920  0.750  0.897

---

What should be chosen as the least stable of them? Choose <P>.

---

<P>
## NaDyZnS3 (PBE-GGA)

Data for NaDyZnS3 after structural relaxation.

Properties
As for the total magnetic moment: 0.0013 μB per atom.

a b c (Å): 6.776 6.776 10.576
angles (deg): 90.00 90.00 146.47
Fractional positions:
Dy  0.000  0.000  0.000
Dy  0.000  0.000  0.500
Na  0.250  0.750  0.250
Na  0.750  0.250  0.750
S  0.635  0.365  0.071
S  0.924  0.076  0.250
S  0.635  0.365  0.429
S  0.365  0.635  0.571
S  0.076  0.924  0.750
S  0.365  0.635  0.929
Zn  0.534  0.466  0.250
Zn  0.466  0.534  0.750

---

<Q>
## NaDyZnS3 (PBE-GGA)

Data for NaDyZnS3 after structural relaxation.

Properties
As for the total magnetic moment: 0.0001 μB per atom.

a b c (Å): 7.927 3.979 15.640
angles (deg): 90.00 90.00 90.00
Fractional positions:
Dy  0.240  0.750  0.047
Dy  0.740  0.750  0.453
Dy  0.260  0.250  0.547
Dy  0.760  0.250  0.953
Na  0.929  0.250  0.223
Na  0.429  0.250  0.277
Na  0.571  0.750  0.723
Na  0.071  0.750  0.777
S  0.873  0.750  0.056
S  0.498  0.250  0.087
S  0.192  0.750  0.215
S  0.692  0.750  0.285
S  0.998  0.250  0.413
S  0.373  0.750  0.444
S  0.627  0.250  0.556
S  0.002  0.750  0.587
S  0.308  0.250  0.715
S  0.808  0.250  0.785
S  0.502  0.750  0.913
S  0.127  0.250  0.944
Zn  0.631  0.750  0.143
Zn  0.131  0.750  0.357
Zn  0.869  0.250  0.643
Zn  0.369  0.250  0.857

---

What should be chosen as the least stable of them? Choose <Q>.

---

<P>
## NaDyZnS3 (PBE-GGA)

Data for NaDyZnS3 after structural relaxation.

Properties
As for the total magnetic moment: 0.0003 μB per atom.

a b c (Å): 9.119 9.119 7.841
angles (deg): 103.85 103.85 24.63
Fractional positions:
Dy  0.173  0.173  0.088
Dy  0.827  0.827  0.912
Na  0.873  0.873  0.424
Na  0.127  0.127  0.576
S  0.000  0.000  0.000
S  0.327  0.327  0.151
S  0.665  0.665  0.321
S  0.500  0.500  0.500
S  0.335  0.335  0.679
S  0.673  0.673  0.849
Zn  0.531  0.531  0.231
Zn  0.469  0.469  0.769

---

<Q>
## NaDyZnS3 (PBE-GGA)

Data for NaDyZnS3 after structural relaxation.

Properties
As for the total magnetic moment: 0.0004 μB per atom.

a b c (Å): 10.582 3.911 12.970
angles (deg): 90.00 90.00 90.00
Fractional positions:
Dy  0.985  0.750  0.238
Dy  0.485  0.750  0.262
Dy  0.515  0.250  0.738
Dy  0.015  0.250  0.762
Na  0.287  0.250  0.000
Na  0.713  0.750  0.000
Na  0.213  0.750  0.500
Na  0.787  0.250  0.500
S  0.906  0.250  0.108
S  0.549  0.250  0.123
S  0.238  0.750  0.174
S  0.738  0.750  0.326
S  0.049  0.250  0.377
S  0.406  0.250  0.392
S  0.594  0.750  0.608
S  0.951  0.750  0.623
S  0.262  0.250  0.674
S  0.762  0.250  0.826
S  0.451  0.750  0.877
S  0.094  0.750  0.892
Zn  0.734  0.250  0.217
Zn  0.234  0.250  0.283
Zn  0.766  0.750  0.717
Zn  0.266  0.750  0.783

---

What should be chosen as the least stable of them? Choose <P>.

---

<P>
## NaSrDySe3 (PBE-GGA)

Data for NaSrDySe3 after structural relaxation.

Properties
As for the total magnetic moment: 0.0003 μB per atom.

a b c (Å): 14.091 4.270 10.902
angles (deg): 90.00 90.00 90.00
Fractional positions:
Dy  0.519  0.250  0.164
Dy  0.019  0.250  0.336
Dy  0.981  0.750  0.664
Dy  0.481  0.750  0.836
Na  0.003  0.750  0.089
Na  0.503  0.750  0.411
Na  0.497  0.250  0.589
Na  0.997  0.250  0.911
Se  0.397  0.750  0.071
Se  0.883  0.250  0.127
Se  0.645  0.750  0.242
Se  0.145  0.750  0.258
Se  0.383  0.250  0.373
Se  0.897  0.750  0.429
Se  0.103  0.250  0.571
Se  0.617  0.750  0.627
Se  0.855  0.250  0.742
Se  0.355  0.250  0.758
Se  0.117  0.750  0.873
Se  0.603  0.250  0.929
Sr  0.240  0.250  0.021
Sr  0.740  0.250  0.479
Sr  0.260  0.750  0.521
Sr  0.760  0.750  0.979

---

<Q>
## NaSrDySe3 (PBE-GGA)

Data for NaSrDySe3 after structural relaxation.

Properties
As for the total magnetic moment: 0.0004 μB per atom.

a b c (Å): 9.160 9.160 9.068
angles (deg): 104.55 104.55 26.25
Fractional positions:
Dy  0.166  0.166  0.087
Dy  0.834  0.834  0.913
Na  0.504  0.504  0.203
Na  0.496  0.496  0.797
Se  0.000  0.000  0.000
Se  0.331  0.331  0.138
Se  0.679  0.679  0.314
Se  0.500  0.500  0.500
Se  0.321  0.321  0.686
Se  0.669  0.669  0.862
Sr  0.865  0.865  0.434
Sr  0.135  0.135  0.566

---

What should be chosen as the least stable of them? Choose <P>.

---

<P>
## NaSrDyTe3 (PBE-GGA)

Data for NaSrDyTe3 after structural relaxation.

Properties
As for the total magnetic moment: 0.0003 μB per atom.

a b c (Å): 15.021 4.548 11.591
angles (deg): 90.00 90.00 90.00
Fractional positions:
Dy  0.483  0.750  0.167
Dy  0.983  0.750  0.333
Dy  0.017  0.250  0.667
Dy  0.517  0.250  0.833
Na  0.997  0.250  0.090
Na  0.497  0.250  0.410
Na  0.503  0.750  0.590
Na  0.003  0.750  0.910
Sr  0.765  0.750  0.040
Sr  0.265  0.750  0.460
Sr  0.735  0.250  0.540
Sr  0.235  0.250  0.960
Te  0.604  0.250  0.072
Te  0.122  0.750  0.127
Te  0.351  0.250  0.240
Te  0.851  0.250  0.260
Te  0.622  0.750  0.373
Te  0.104  0.250  0.428
Te  0.896  0.750  0.572
Te  0.378  0.250  0.627
Te  0.149  0.750  0.740
Te  0.649  0.750  0.760
Te  0.878  0.250  0.873
Te  0.396  0.750  0.928

---

<Q>
## NaSrDyTe3 (PBE-GGA)

Data for NaSrDyTe3 after structural relaxation.

Properties
As for the total magnetic moment: 0.0002 μB per atom.

a b c (Å): 9.855 9.855 9.708
angles (deg): 104.23 104.23 26.04
Fractional positions:
Dy  0.834  0.834  0.413
Dy  0.166  0.166  0.587
Na  0.493  0.493  0.295
Na  0.507  0.507  0.705
Sr  0.135  0.135  0.067
Sr  0.865  0.865  0.933
Te  0.500  0.500  0.000
Te  0.319  0.319  0.182
Te  0.669  0.669  0.361
Te  0.000  0.000  0.500
Te  0.331  0.331  0.639
Te  0.681  0.681  0.818

---

What should be chosen as the least stable of them? Choose <P>.

---

<P>
## NaDyTl (PBE-GGA)

Data for NaDyTl after structural relaxation.

Properties
As for the total magnetic moment: 0.2667 μB per atom.

a b c (Å): 5.165 5.165 5.165
angles (deg): 60.00 60.00 60.00
Fractional positions:
Dy  0.000  0.000  0.000
Na  0.250  0.250  0.250
Tl  0.750  0.750  0.750

---

<Q>
## NaDyTl (PBE-GGA)

Data for NaDyTl after structural relaxation.

Properties
As for the total magnetic moment: 0.3221 μB per atom.

a b c (Å): 5.143 5.143 5.143
angles (deg): 60.00 60.00 60.00
Fractional positions:
Dy  0.250  0.250  0.250
Na  0.750  0.750  0.750
Tl  0.000  0.000  0.000

---

What should be chosen as the least stable of them? Choose <P>.

---

<P>
## DyNbOs (PBE-GGA)

Data for DyNbOs after structural relaxation.

Properties
As for the total magnetic moment: 0.0004 μB per atom.

a b c (Å): 4.502 4.502 4.502
angles (deg): 60.00 60.00 60.00
Fractional positions:
Dy  0.250  0.250  0.250
Nb  0.000  0.000  0.000
Os  0.750  0.750  0.750

---

<Q>
## DyNbOs (PBE-GGA)

Data for DyNbOs after structural relaxation.

Properties
As for the total magnetic moment: 0.0063 μB per atom.

a b c (Å): 4.518 4.518 4.518
angles (deg): 60.00 60.00 60.00
Fractional positions:
Dy  0.000  0.000  0.000
Nb  0.250  0.250  0.250
Os  0.750  0.750  0.750

---

What should be chosen as the least stable of them? Choose <Q>.

---

<P>
## DyNbRe (PBE-GGA)

Data for DyNbRe after structural relaxation.

Properties
As for the total magnetic moment: 0.0040 μB per atom.

a b c (Å): 4.545 4.545 4.545
angles (deg): 60.00 60.00 60.00
Fractional positions:
Dy  0.000  0.000  0.000
Nb  0.250  0.250  0.250
Re  0.750  0.750  0.750

---

<Q>
## DyNbRe (PBE-GGA)

Data for DyNbRe after structural relaxation.

Properties
As for the total magnetic moment: 0.0013 μB per atom.

a b c (Å): 4.540 4.540 4.540
angles (deg): 60.00 60.00 60.00
Fractional positions:
Dy  0.250  0.250  0.250
Nb  0.000  0.000  0.000
Re  0.750  0.750  0.750

---

What should be chosen as the least stable of them? Choose <P>.

---

<P>
## DyScNb (PBE-GGA)

Data for DyScNb after structural relaxation.

Properties
As for the total magnetic moment: 0.6048 μB per atom.

a b c (Å): 4.892 4.892 4.892
angles (deg): 60.00 60.00 60.00
Fractional positions:
Dy  0.250  0.250  0.250
Nb  0.000  0.000  0.000
Sc  0.750  0.750  0.750

---

<Q>
## DyScNb (PBE-GGA)

Data for DyScNb after structural relaxation.

Properties
As for the total magnetic moment: 0.4399 μB per atom.

a b c (Å): 4.860 4.860 4.860
angles (deg): 60.00 60.00 60.00
Fractional positions:
Dy  0.000  0.000  0.000
Nb  0.250  0.250  0.250
Sc  0.750  0.750  0.750

---

What should be chosen as the least stable of them? Choose <Q>.

---

<P>
## DyNbTc (PBE-GGA)

Data for DyNbTc after structural relaxation.

Properties
As for the total magnetic moment: 0.0010 μB per atom.

a b c (Å): 4.525 4.525 4.525
angles (deg): 60.00 60.00 60.00
Fractional positions:
Dy  0.250  0.250  0.250
Nb  0.000  0.000  0.000
Tc  0.750  0.750  0.750

---

<Q>
## DyNbTc (PBE-GGA)

Data for DyNbTc after structural relaxation.

Properties
As for the total magnetic moment: 0.0004 μB per atom.

a b c (Å): 4.527 4.527 4.527
angles (deg): 60.00 60.00 60.00
Fractional positions:
Dy  0.000  0.000  0.000
Nb  0.250  0.250  0.250
Tc  0.750  0.750  0.750

---

What should be chosen as the least stable of them? Choose <Q>.